! ScCo10B3 (PBE, relaxed); values from VASP
! DOS(E_F) = 16.9 states/eV/f.u.
! Energy of formation = -232 meV per atom
! Uncorrected energy = -201.35 eV/cell
! Size of the total moment = 10.26 μB/f.u.
! Calculated density = 7.620 g/cm³
! SG = No. 225
&SYSTEM
  ibrav = 0, nat = 28, ntyp = 3
/
ATOMIC_SPECIES
Co 58.93 Co.upf
B 10.81 B.upf
Sc 44.96 Sc.upf
CELL_PARAMETERS angstrom
-6.3979 3.5078 -1.4268
-3.3700 -0.9364 -6.5605
-6.3437 -3.8559 -0.4036
ATOMIC_POSITIONS crystal
Co 0.0000 0.0000 0.3358
Co 0.3853 0.3853 0.3853
Co 0.3358 0.0000 0.6642
B 0.7257 0.2743 0.7257
B 0.2743 0.7257 0.2743
Co 0.6147 0.1558 0.6147
B 0.7257 0.2743 0.2743
Co 0.0000 0.0000 0.6642
Co 0.0000 0.3358 0.0000
Co 0.6642 0.0000 0.0000
Sc 0.7500 0.7500 0.7500
B 0.7257 0.7257 0.2743
Co 0.0000 0.3358 0.6642
Co 0.3358 0.6642 0.0000
Sc 0.2500 0.2500 0.2500
Co 0.3853 0.8442 0.3853
Co 0.6642 0.0000 0.3358
B 0.2743 0.2743 0.7257
Co 0.8442 0.3853 0.3853
Co 0.6147 0.6147 0.6147
Co 0.0000 0.6642 0.0000
Co 0.3358 0.0000 0.0000
Co 0.6147 0.6147 0.1558
B 0.2743 0.7257 0.7257
Co 0.0000 0.6642 0.3358
Co 0.1558 0.6147 0.6147
Co 0.3853 0.3853 0.8442
Co 0.6642 0.3358 0.0000